(1)
Entry from the Alexandria database: La2CdPd2 after structural relaxation (GGA-PBE).

Summary:
Crystal system = tetragonal
Total magnetization = 0.000 μB per atom
Formation energy = -475 meV/atom

Lattice parameters (Å, degrees): 8.551 8.551 3.645 90.00 90.00 90.00
Positions (direct):
La: 0.160 0.340 0.000
La: 0.340 0.840 0.000
La: 0.660 0.160 0.000
La: 0.840 0.660 0.000
Cd: 0.000 0.000 0.000
Cd: 0.500 0.500 0.000
Pd: 0.129 0.629 0.500
Pd: 0.371 0.129 0.500
Pd: 0.629 0.871 0.500
Pd: 0.871 0.371 0.500

(2)
Entry from the Alexandria database: La2Cd3Pd5 after structural relaxation (GGA-PBE).

Summary:
Crystal system = orthorhombic
Total magnetization = 0.000 μB per atom
Formation energy = -549 meV/atom

Lattice parameters (Å, degrees): 9.373 9.373 9.373 112.57 78.83 144.09
Positions (direct):
La: 0.126 0.248 0.374
La: 0.374 0.748 0.122
La: 0.626 0.252 0.878
La: 0.874 0.752 0.626
Cd: 0.158 0.933 0.091
Cd: 0.250 0.750 0.500
Cd: 0.342 0.433 0.775
Cd: 0.658 0.567 0.225
Cd: 0.750 0.250 0.500
Cd: 0.842 0.067 0.909
Pd: 0.061 0.750 0.311
Pd: 0.093 0.693 0.786
Pd: 0.250 0.250 0.000
Pd: 0.407 0.193 0.600
Pd: 0.439 0.750 0.689
Pd: 0.561 0.250 0.311
Pd: 0.593 0.807 0.400
Pd: 0.750 0.750 0.000
Pd: 0.907 0.307 0.214
Pd: 0.939 0.250 0.689

(3)
Entry from the Alexandria database: La6CdPd2 after structural relaxation (GGA-PBE).

Summary:
Crystal system = orthorhombic
Total magnetization = 0.000 μB per atom
Formation energy = -434 meV/atom

Lattice parameters (Å, degrees): 9.004 9.004 9.004 113.44 109.98 105.10
Positions (direct):
La: 0.046 0.239 0.807
La: 0.178 0.288 0.466
La: 0.178 0.712 0.890
La: 0.327 0.023 0.696
La: 0.327 0.631 0.304
La: 0.433 0.239 0.193
La: 0.567 0.761 0.807
La: 0.673 0.369 0.696
La: 0.673 0.977 0.304
La: 0.822 0.288 0.110
La: 0.822 0.712 0.534
La: 0.954 0.761 0.193
Cd: 0.000 0.000 0.000
Cd: 0.500 0.500 0.000
Pd: 0.131 0.631 0.500
Pd: 0.345 0.000 0.345
Pd: 0.655 0.000 0.655
Pd: 0.869 0.369 0.500

(4)
Entry from the Alexandria database: LaCd5Pd6 after structural relaxation (GGA-PBE).

Summary:
Crystal system = orthorhombic
Total magnetization = 0.000 μB per atom
Formation energy = -468 meV/atom

Lattice parameters (Å, degrees): 7.175 7.175 7.290 90.00 90.00 143.33
Positions (direct):
La: 0.000 0.000 0.000
Cd: 0.000 0.000 0.500
Cd: 0.325 0.675 0.000
Cd: 0.336 0.664 0.500
Cd: 0.664 0.336 0.500
Cd: 0.675 0.325 0.000
Pd: 0.170 0.830 0.260
Pd: 0.170 0.830 0.740
Pd: 0.500 0.500 0.258
Pd: 0.500 0.500 0.742
Pd: 0.830 0.170 0.260
Pd: 0.830 0.170 0.740

(5)
Entry from the Alexandria database: La2CdPd2 after structural relaxation (GGA-PBE).

Summary:
Crystal system = tetragonal
Total magnetization = 0.000 μB per atom
Formation energy = -608 meV/atom

Lattice parameters (Å, degrees): 5.701 5.701 8.261 90.00 90.00 90.00
Positions (direct):
La: 0.000 0.500 0.250
La: 0.000 0.500 0.750
La: 0.500 0.000 0.250
La: 0.500 0.000 0.750
Cd: 0.000 0.000 0.000
Cd: 0.500 0.500 0.500
Pd: 0.000 0.000 0.342
Pd: 0.000 0.000 0.658
Pd: 0.500 0.500 0.158
Pd: 0.500 0.500 0.842

(6)
Entry from the Alexandria database: LaCd2Pd2 after structural relaxation (GGA-PBE).

Summary:
Crystal system = tetragonal
Total magnetization = 0.000 μB per atom
Formation energy = -565 meV/atom
Distance to the lowest polymorph of the same formula = 0.00 eV per formula unit

Lattice parameters (Å, degrees): 4.155 4.155 13.013 90.00 90.00 90.00
Positions (direct):
La: 0.000 0.000 0.000
La: 0.500 0.500 0.500
Cd: 0.000 0.500 0.250
Cd: 0.000 0.500 0.750
Cd: 0.500 0.000 0.250
Cd: 0.500 0.000 0.750
Pd: 0.000 0.000 0.398
Pd: 0.000 0.000 0.602
Pd: 0.500 0.500 0.102
Pd: 0.500 0.500 0.898

(7)
Entry from the Alexandria database: La2Cd2Pd after structural relaxation (GGA-PBE).

Summary:
Crystal system = tetragonal
Total magnetization = 0.000 μB per atom
Formation energy = -156 meV/atom
Distance to the lowest polymorph of the same formula = 0.83 eV per formula unit

Lattice parameters (Å, degrees): 7.655 7.655 5.196 90.00 90.00 90.00
Positions (direct):
La: 0.160 0.340 0.000
La: 0.340 0.840 0.000
La: 0.660 0.160 0.000
La: 0.840 0.660 0.000
Cd: 0.144 0.644 0.500
Cd: 0.356 0.144 0.500
Cd: 0.644 0.856 0.500
Cd: 0.856 0.356 0.500
Pd: 0.000 0.000 0.000
Pd: 0.500 0.500 0.000

(8)
Entry from the Alexandria database: La2CdPd5 after structural relaxation (GGA-PBE).

Summary:
Crystal system = tetragonal
Total magnetization = 0.000 μB per atom
Formation energy = -675 meV/atom

Lattice parameters (Å, degrees): 6.472 6.472 7.788 90.00 90.00 90.00
Positions (direct):
La: 0.000 0.500 0.000
La: 0.000 0.500 0.500
La: 0.500 0.000 0.000
La: 0.500 0.000 0.500
Cd: 0.000 0.000 0.382
Cd: 0.500 0.500 0.882
Pd: 0.000 0.000 0.013
Pd: 0.217 0.217 0.740
Pd: 0.217 0.783 0.740
Pd: 0.283 0.283 0.240
Pd: 0.283 0.717 0.240
Pd: 0.500 0.500 0.513
Pd: 0.717 0.283 0.240
Pd: 0.717 0.717 0.240
Pd: 0.783 0.217 0.740
Pd: 0.783 0.783 0.740

Number 1: total energy -4.706 eV per atom. Number 2: total energy -4.405 eV per atom. Number 3: total energy -4.975 eV per atom. Number 4: total energy -3.857 eV per atom. Number 5: total energy -4.840 eV per atom. Number 6: total energy -3.993 eV per atom. Number 7: total energy -3.531 eV per atom. Number 8: total energy -5.267 eV per atom.